1.
This record from Alexandria via LeMat-Bulk describes a geometry-optimized KBeGa2 structure. The functional is PBE.

Results
The total energy comes out at -43.173 eV per cell. The calculation puts the formation energy at 0.5 kcal/mol of atoms. For the total magnetic moment, the calculation gives 0.00 μB/cell.

a = 6.908 Å, b = 3.949 Å, c = 13.835 Å
α = 90.00°, β = 108.64°, γ = 90.00°
Fractional coordinates of all 16 atoms:
Be (0.088, 0.000, 0.261)
Be (0.912, 0.000, 0.739)
Be (0.088, 0.500, 0.761)
Be (0.912, 0.500, 0.239)
K (0.767, 0.000, 0.018)
K (0.233, 0.000, 0.982)
K (0.767, 0.500, 0.518)
K (0.233, 0.500, 0.482)
Ga (0.552, 0.000, 0.673)
Ga (0.448, 0.000, 0.327)
Ga (0.552, 0.500, 0.173)
Ga (0.448, 0.500, 0.827)
Ga (0.785, 0.000, 0.294)
Ga (0.215, 0.000, 0.706)
Ga (0.785, 0.500, 0.794)
Ga (0.215, 0.500, 0.206)

=====

2.
This record from Alexandria via LeMat-Bulk describes a geometry-optimized Ba2NaTiO4 structure. The functional is PBE.

Results
The total energy comes out at -51.935 eV per cell. For the total magnetic moment, the calculation gives 0.97 μB/cell. The formation energy (no corrections) is -54.9 kcal/mol of atoms.

a = 5.809 Å, b = 5.809 Å, c = 5.809 Å
α = 96.68°, β = 116.22°, γ = 116.22°
Site moments in Bohr magnetons follow the coordinates.
Fractional coordinates of all 8 atoms:
Ba (0.500, 0.750, 0.250)  0.03
Ba (0.000, 0.000, 0.000)  0.06
Na (0.500, 0.250, 0.750)  0.00
Ti (0.000, 0.500, 0.500)  0.51
O (0.590, 0.370, 0.406)  0.01
O (0.037, 0.221, 0.630)  0.01
O (0.963, 0.594, 0.184)  0.01
O (0.410, 0.816, 0.779)  0.01

=====

3.
This record from Alexandria via LeMat-Bulk describes a geometry-optimized Mg5Hg2RhAu2 structure. The functional is PBE.

Results
The total energy comes out at -52.665 eV per cell. The calculation puts the formation energy at -8.9 kcal/mol of atoms. For the total magnetic moment, the calculation gives 0.00 μB/cell.

a = 3.145 Å, b = 11.355 Å, c = 11.355 Å
α = 90.00°, β = 90.00°, γ = 90.00°
Fractional coordinates of all 20 atoms:
Mg (0.500, 0.187, 0.038)
Mg (0.500, 0.813, 0.962)
Mg (0.500, 0.038, 0.813)
Mg (0.500, 0.687, 0.462)
Mg (0.500, 0.962, 0.187)
Mg (0.500, 0.313, 0.538)
Mg (0.500, 0.538, 0.687)
Mg (0.500, 0.462, 0.313)
Mg (0.500, 0.500, 0.000)
Mg (0.500, 0.000, 0.500)
Hg (0.000, 0.675, 0.175)
Hg (0.000, 0.325, 0.825)
Hg (0.000, 0.175, 0.325)
Hg (0.000, 0.825, 0.675)
Rh (0.000, 0.000, 0.000)
Rh (0.000, 0.500, 0.500)
Au (0.000, 0.139, 0.639)
Au (0.000, 0.861, 0.361)
Au (0.000, 0.639, 0.861)
Au (0.000, 0.361, 0.139)

=====

4.
This record from Alexandria via LeMat-Bulk describes a geometry-optimized CaTlCdBi structure. The functional is PBE.

Results
The total energy comes out at -10.315 eV per cell. The calculation puts the formation energy at -6.6 kcal/mol of atoms. For the total magnetic moment, the calculation gives 0.00 μB/cell. The calculation puts the energy above the most stable polymorph in this dataset at 0.0798 eV/atom.

a = 5.591 Å, b = 5.591 Å, c = 5.591 Å
α = 60.00°, β = 60.00°, γ = 60.00°
Fractional coordinates of all 4 atoms:
Tl (0.250, 0.250, 0.250)
Ca (0.750, 0.750, 0.750)
Bi (0.000, 0.000, 0.000)
Cd (0.500, 0.500, 0.500)

=====

5.
This record from Alexandria via LeMat-Bulk describes a geometry-optimized Mg3Ga2BIr3 structure. The functional is PBE.

Results
The total energy comes out at -47.831 eV per cell. The calculation puts the formation energy at -9.6 kcal/mol of atoms. For the total magnetic moment, the calculation gives 0.00 μB/cell.

a = 3.190 Å, b = 6.850 Å, c = 6.850 Å
α = 120.00°, β = 90.00°, γ = 90.00°
Fractional coordinates of all 9 atoms:
Mg (0.000, 0.000, 0.376)
Mg (0.000, 0.624, 0.624)
Mg (0.000, 0.376, 0.000)
Ga (0.500, 0.333, 0.667)
Ga (0.500, 0.667, 0.333)
B (0.000, 0.000, 0.000)
Ir (0.500, 0.759, 0.000)
Ir (0.500, 0.241, 0.241)
Ir (0.500, 0.000, 0.759)

=====

6.
This record from Alexandria via LeMat-Bulk describes a geometry-optimized Ni2PbBr structure. The functional is PBE.

Results
The total energy comes out at -15.769 eV per cell. For the total magnetic moment, the calculation gives 0.78 μB/cell. The calculation puts the energy above the most stable polymorph in this dataset at 0.2166 eV/atom. The formation energy (no corrections) is 6.8 kcal/mol of atoms.

a = 7.017 Å, b = 7.017 Å, c = 7.017 Å
α = 150.62°, β = 150.22°, γ = 42.32°
Site moments in Bohr magnetons follow the coordinates.
Fractional coordinates of all 4 atoms:
Br (0.240, 0.740, 0.500)  0.07
Ni (0.944, 0.944, 0.000)  0.13
Ni (0.818, 0.318, 0.500)  0.60
Pb (0.498, 0.498, 0.000)  -0.01

=====

7.
This record from Alexandria via LeMat-Bulk describes a geometry-optimized CaZn2CoSi structure. The functional is PBE.

Results
The total energy comes out at -18.073 eV per cell. For the total magnetic moment, the calculation gives 0.58 μB/cell. The formation energy (no corrections) is -4.6 kcal/mol of atoms.

a = 4.632 Å, b = 4.632 Å, c = 4.325 Å
α = 90.00°, β = 90.00°, γ = 90.00°
Site moments in Bohr magnetons follow the coordinates.
Fractional coordinates of all 5 atoms:
Si (0.000, 0.000, 0.500)  0.01
Zn (0.000, 0.500, 0.000)  0.00
Zn (0.500, 0.000, 0.000)  0.00
Co (0.000, 0.000, 0.000)  0.34
Ca (0.500, 0.500, 0.500)  0.05

=====

8.
This record from Alexandria via LeMat-Bulk describes a geometry-optimized CePr2Nd structure. The functional is PBE.

Results
The total energy comes out at -19.990 eV per cell. The calculation puts the formation energy at 1.6 kcal/mol of atoms. For the total magnetic moment, the calculation gives 0.60 μB/cell. The calculation puts the energy above the most stable polymorph in this dataset at 0.0026 eV/atom.

a = 3.646 Å, b = 3.646 Å, c = 12.070 Å
α = 81.31°, β = 81.31°, γ = 60.00°
Site moments in Bohr magnetons follow the coordinates.
Fractional coordinates of all 4 atoms:
Ce (0.667, 0.667, 0.999)  0.51
Pr (0.081, 0.081, 0.758)  -0.01
Pr (0.253, 0.253, 0.242)  -0.01
Nd (0.500, 0.500, 0.501)  0.01

=====

9.
This record from Alexandria via LeMat-Bulk describes a geometry-optimized Er8Ni18P11 structure. The functional is PBE.

Results
The total energy comes out at -473.153 eV per cell. The calculation puts the formation energy at -22.7 kcal/mol of atoms. For the total magnetic moment, the calculation gives 0.45 μB/cell.

a = 17.944 Å, b = 17.944 Å, c = 3.793 Å
α = 90.00°, β = 90.00°, γ = 120.00°
Site moments in Bohr magnetons follow the coordinates.
Fractional coordinates of all 74 atoms:
Er (0.951, 0.475, 0.500)  0.00
Er (0.525, 0.475, 0.500)  0.00
Er (0.525, 0.049, 0.500)  0.00
Er (0.522, 0.261, 0.500)  0.00
Er (0.739, 0.261, 0.500)  0.00
Er (0.739, 0.478, 0.500)  0.00
Er (0.560, 0.780, 0.000)  0.01
Er (0.220, 0.780, 0.000)  0.01
Er (0.220, 0.440, 0.000)  0.01
Er (0.785, 0.001, 0.000)  0.00
Er (0.999, 0.783, 0.000)  0.00
Er (0.785, 0.783, 0.000)  0.00
Er (0.217, 0.215, 0.000)  0.00
Er (0.999, 0.215, 0.000)  0.00
Er (0.217, 0.001, 0.000)  0.00
Er (0.000, 0.000, 0.000)  0.00
Ni (0.423, 0.711, 0.500)  -0.12
Ni (0.289, 0.711, 0.500)  -0.12
Ni (0.289, 0.577, 0.500)  -0.12
Ni (0.707, 0.077, 0.500)  0.00
Ni (0.923, 0.631, 0.500)  0.00
Ni (0.707, 0.631, 0.500)  0.00
Ni (0.369, 0.293, 0.500)  0.00
Ni (0.923, 0.293, 0.500)  0.00
Ni (0.369, 0.077, 0.500)  0.00
Ni (0.371, 0.398, 0.000)  0.01
Ni (0.602, 0.974, 0.000)  0.01
Ni (0.371, 0.974, 0.000)  0.01
Ni (0.026, 0.629, 0.000)  0.01
Ni (0.602, 0.629, 0.000)  0.01
Ni (0.026, 0.398, 0.000)  0.01
Ni (0.369, 0.185, 0.000)  0.00
Ni (0.815, 0.185, 0.000)  0.00
Ni (0.815, 0.631, 0.000)  0.00
Ni (0.810, 0.405, 0.000)  0.00
Ni (0.595, 0.405, 0.000)  0.00
Ni (0.595, 0.190, 0.000)  0.00
Ni (0.145, 0.072, 0.500)  0.00
Ni (0.928, 0.072, 0.500)  0.00
Ni (0.928, 0.855, 0.500)  0.00
Ni (0.368, 0.496, 0.500)  0.00
Ni (0.504, 0.872, 0.500)  0.00
Ni (0.368, 0.872, 0.500)  0.00
Ni (0.128, 0.632, 0.500)  0.00
Ni (0.504, 0.632, 0.500)  0.00
Ni (0.128, 0.496, 0.500)  0.00
Ni (0.227, 0.614, 0.000)  -0.06
Ni (0.386, 0.614, 0.000)  -0.06
Ni (0.386, 0.773, 0.000)  -0.06
Ni (0.713, 0.857, 0.500)  0.00
Ni (0.143, 0.857, 0.500)  0.00
Ni (0.143, 0.287, 0.500)  0.00
P (0.667, 0.333, 0.000)  0.00
P (0.287, 0.143, 0.500)  0.00
P (0.857, 0.143, 0.500)  0.00
P (0.857, 0.713, 0.500)  0.00
P (0.668, 0.121, 0.000)  0.00
P (0.879, 0.546, 0.000)  0.00
P (0.668, 0.546, 0.000)  0.00
P (0.454, 0.332, 0.000)  0.00
P (0.879, 0.332, 0.000)  0.00
P (0.454, 0.121, 0.000)  0.00
P (0.089, 0.544, 0.000)  0.00
P (0.456, 0.544, 0.000)  0.00
P (0.456, 0.911, 0.000)  0.00
P (0.284, 0.355, 0.500)  0.00
P (0.645, 0.929, 0.500)  0.00
P (0.284, 0.929, 0.500)  0.00
P (0.071, 0.716, 0.500)  0.00
P (0.645, 0.716, 0.500)  0.00
P (0.071, 0.355, 0.500)  0.00
P (0.857, 0.929, 0.500)  0.00
P (0.071, 0.929, 0.500)  0.00
P (0.071, 0.143, 0.500)  0.00

=====

10.
This record from Alexandria via LeMat-Bulk describes a geometry-optimized CaPa2F8 structure. The functional is PBE.

Results
The total energy comes out at -73.399 eV per cell. For the total magnetic moment, the calculation gives 4.00 μB/cell. The formation energy (no corrections) is -78.5 kcal/mol of atoms.

a = 5.559 Å, b = 6.868 Å, c = 6.868 Å
α = 43.04°, β = 77.15°, γ = 77.15°
Site moments in Bohr magnetons follow the coordinates.
Fractional coordinates of all 11 atoms:
Ca (0.000, 0.000, 0.000)  0.01
Pa (0.738, 0.722, 0.722)  1.69
Pa (0.262, 0.278, 0.278)  1.69
F (0.100, 0.392, 0.902)  0.00
F (0.900, 0.098, 0.608)  0.00
F (0.337, 0.849, 0.849)  0.01
F (0.663, 0.151, 0.151)  0.01
F (0.100, 0.902, 0.392)  0.00
F (0.900, 0.608, 0.098)  0.00
F (0.750, 0.552, 0.552)  -0.01
F (0.250, 0.448, 0.448)  -0.01

=====

11.
This record from Alexandria via LeMat-Bulk describes a geometry-optimized BaTcRh2 structure. The functional is PBE.

Results
The total energy comes out at -25.153 eV per cell. The calculation puts the formation energy at 10.6 kcal/mol of atoms. For the total magnetic moment, the calculation gives 0.00 μB/cell. The calculation puts the energy above the most stable polymorph in this dataset at 0.2952 eV/atom.

a = 4.338 Å, b = 3.100 Å, c = 6.465 Å
α = 81.71°, β = 90.00°, γ = 90.00°
Fractional coordinates of all 4 atoms:
Ba (0.500, 0.702, 0.782)
Rh (0.000, 0.106, 0.047)
Rh (0.500, 0.170, 0.310)
Tc (0.000, 0.522, 0.361)

=====

12.
This record from Alexandria via LeMat-Bulk describes a geometry-optimized AcCdBi4 structure. The functional is PBE.

Results
The total energy comes out at -21.515 eV per cell. The calculation puts the formation energy at -3.7 kcal/mol of atoms. For the total magnetic moment, the calculation gives 0.00 μB/cell.

a = 6.619 Å, b = 6.619 Å, c = 6.619 Å
α = 60.00°, β = 60.00°, γ = 60.00°
Fractional coordinates of all 6 atoms:
Ac (0.000, 0.000, 0.000)
Bi (0.623, 0.623, 0.130)
Bi (0.623, 0.130, 0.623)
Bi (0.623, 0.623, 0.623)
Bi (0.130, 0.623, 0.623)
Cd (0.250, 0.250, 0.250)